(1)
The following is a PBE calculation of crystalline TlVGe2 at its relaxed geometry, from Alexandria via LeMat-Bulk.

Output
* polymorph energy (0 for the lowest one): 1.46 eV/f.u.
* M_tot: 14.3 μB/cell

Unit cell a=6.901 b=6.901 c=6.901 alpha=90.00 beta=90.00 gamma=90.00
Positions (direct):
Tl (0.000, 0.000, 0.000)
Tl (0.000, 0.500, 0.500)
Tl (0.500, 0.000, 0.500)
Tl (0.500, 0.500, 0.000)
V (0.000, 0.000, 0.500)
V (0.000, 0.500, 0.000)
V (0.500, 0.000, 0.000)
V (0.500, 0.500, 0.500)
Ge (0.250, 0.250, 0.250)
Ge (0.250, 0.250, 0.750)
Ge (0.250, 0.750, 0.250)
Ge (0.250, 0.750, 0.750)
Ge (0.750, 0.250, 0.250)
Ge (0.750, 0.250, 0.750)
Ge (0.750, 0.750, 0.250)
Ge (0.750, 0.750, 0.750)

(2)
The following is a PBE calculation of crystalline TlVGe2 at its relaxed geometry, from Alexandria via LeMat-Bulk.

Output
* polymorph energy (0 for the lowest one): 0.00 eV/f.u.
* M_tot: 2.0 μB/cell

Unit cell a=3.116 b=3.116 c=27.962 alpha=90.00 beta=90.00 gamma=120.00
Positions (direct):
Tl (0.000, 0.000, 0.000)
Tl (0.333, 0.667, 0.667)
Tl (0.667, 0.333, 0.333)
V (0.000, 0.000, 0.500)
V (0.333, 0.667, 0.167)
V (0.667, 0.333, 0.833)
Ge (0.000, 0.000, 0.101)
Ge (0.000, 0.000, 0.899)
Ge (0.333, 0.667, 0.566)
Ge (0.333, 0.667, 0.768)
Ge (0.667, 0.333, 0.232)
Ge (0.667, 0.333, 0.434)

(3)
The following is a PBE calculation of crystalline TlV3Ge at its relaxed geometry, from Alexandria via LeMat-Bulk.

Output
* total DFT energy (no corrections): -30.37 eV/cell
* M_tot: 4.7 μB/cell

Unit cell a=4.612 b=4.612 c=4.612 alpha=90.00 beta=90.00 gamma=90.00
Positions (direct):
Tl (0.000, 0.000, 0.000)
V (0.000, 0.500, 0.500)
V (0.500, 0.000, 0.500)
V (0.500, 0.500, 0.000)
Ge (0.500, 0.500, 0.500)

> Number 1 is which compound?

TlVGe2

> What is the formula in the second record?

TlVGe2

> Which of these has the highest M_tot?

number 1